No. 1
The following is a PBE calculation of crystalline Nb3Sb2 at its relaxed geometry, from Alexandria via LeMat-Bulk.

Cell: 10.9500 3.6930 10.2112 Å, 90.00 90.00 90.00°
Space group Pnma (No. 62)
Symmetry-distinct sites (fractional):
Nb: 0.0412 0.2500 0.1129 (multiplicity 4)
Nb: 0.1206 0.7500 0.5894 (multiplicity 4)
Nb: 0.1916 0.2500 0.7861 (multiplicity 4)
Sb: 0.0555 0.7500 0.3230 (multiplicity 4)
Sb: 0.2049 0.7500 0.9973 (multiplicity 4)

Properties
- formation energy from raw total energies (kJ/mol of formula units) = -61
- E (eV per cell) = -156.3

No. 2
The following is a PBE calculation of crystalline ZrAlZn at its relaxed geometry, from Alexandria via LeMat-Bulk.

Cell: 6.1622 6.1622 6.1622 Å, 90.00 90.00 90.00°
Space group F-43m (No. 216)
Symmetry-distinct sites (fractional):
Zr: 0.0000 0.0000 0.0000 (multiplicity 4)
Al: 0.0000 0.0000 0.5000 (multiplicity 4)
Zn: 0.2500 0.2500 0.7500 (multiplicity 4)

Properties
- E (eV per cell) = -55.8
- energy relative to the elements (eV per atom) = -0.132

No. 3
The following is a PBE calculation of crystalline CeYLu2 at its relaxed geometry, from Alexandria via LeMat-Bulk.

Cell: 4.9771 4.9771 4.8874 Å, 90.00 90.00 90.00°
Space group P4/mmm (No. 123)
Symmetry-distinct sites (fractional):
Ce: 0.0000 0.0000 0.0000 (multiplicity 1)
Y: 0.5000 0.5000 0.0000 (multiplicity 1)
Lu: 0.0000 0.5000 0.5000 (multiplicity 2)

Properties
- E (eV per cell) = -21.2
- energy relative to the elements (eV per atom) = 0.072

No. 4
The following is a PBE calculation of crystalline CuTc2Ni at its relaxed geometry, from Alexandria via LeMat-Bulk.

Cell: 2.6517 2.6517 26.0485 Å, 90.00 90.00 120.00°
Space group R-3m (No. 166, hexagonal axes)
Symmetry-distinct sites (fractional):
Cu: 0.0000 0.0000 0.0000 (multiplicity 3)
Tc: 0.0000 0.0000 0.2477 (multiplicity 6)
Ni: 0.0000 0.0000 0.5000 (multiplicity 3)

Properties
- E (eV per cell) = -89.1
- energy relative to the elements (eV per atom) = 0.226
- energy above the most stable polymorph in this dataset (eV per atom) = 0.1262

No. 5
The following is a PBE calculation of crystalline CrNiOs2 at its relaxed geometry, from Alexandria via LeMat-Bulk.

Cell: 2.7991 4.4257 8.5826 Å, 90.00 90.00 90.00°
Space group Cmmm (No. 65)
Symmetry-distinct sites (fractional):
Cr: 0.0000 0.0000 0.0000 (multiplicity 2)
Ni: 0.0000 0.0000 0.5000 (multiplicity 2)
Os: 0.0000 0.5000 0.2463 (multiplicity 4)

Properties
- E (eV per cell) = -72.9
- energy relative to the elements (eV per atom) = 0.357
- energy above the most stable polymorph in this dataset (eV per atom) = 0.2839

No. 6
The following is a PBE calculation of crystalline NpGeS2 at its relaxed geometry, from Alexandria via LeMat-Bulk.

Cell: 3.8914 3.8914 24.7459 Å, 90.00 90.00 120.00°
Space group R-3m (No. 166, hexagonal axes)
Symmetry-distinct sites (fractional):
Np: 0.0000 0.0000 0.0000 (multiplicity 3)
Ge: 0.0000 0.0000 0.5000 (multiplicity 3)
S: 0.0000 0.0000 0.3934 (multiplicity 6)

Properties
- formation energy from raw total energies (kJ/mol of formula units) = -245
- E (eV per cell) = -85.1